A:
Compound: ThPdPt3
Source: the Alexandria database
Functional: PBE
Structure: optimized geometry

Properties
For the density of states at the Fermi level, the calculation gives 0.85 states/eV/atom.

a = 9.0480 Å, b = 9.0480 Å, c = 5.0840 Å
α = 90.00°, β = 90.00°, γ = 147.46°
Last column: nearest neighbours and their distance in Å.
Fractional coordinates of all 10 atoms:
Th 0.0908 0.9092 0.7500  2 Pt 2.70
Th 0.9092 0.0908 0.2500  2 Pt 2.70
Pd 0.3663 0.6337 0.7500  4 Pt 2.65-2.75
Pd 0.6337 0.3663 0.2500  4 Pt 2.65-2.75
Pt 0.0300 0.4839 0.2500  4 Pt 2.46-2.67, 1 Th 2.70, 1 Pd 2.75
Pt 0.4839 0.0300 0.7500  4 Pt 2.46-2.67, 1 Th 2.70, 1 Pd 2.75
Pt 0.5000 0.5000 0.0000  2 Pt 2.54, 2 Pd 2.65
Pt 0.5000 0.5000 0.5000  2 Pt 2.54, 2 Pd 2.65
Pt 0.5161 0.9700 0.2500  4 Pt 2.46-2.67, 1 Th 2.70, 1 Pd 2.75
Pt 0.9700 0.5161 0.7500  4 Pt 2.46-2.67, 1 Th 2.70, 1 Pd 2.75



B:
Compound: ThPdPt3
Source: the Alexandria database
Functional: PBE
Structure: optimized geometry

Properties
For the density of states at the Fermi level, the calculation gives 0.91 states/eV/atom.

a = 4.4813 Å, b = 6.6569 Å, c = 6.4430 Å
α = 90.00°, β = 90.00°, γ = 90.00°
Last column: nearest neighbours and their distance in Å.
Fractional coordinates of all 10 atoms:
Th 0.2500 0.2500 0.2475  6 Pt 2.94-3.02, 2 Pd 2.95
Th 0.7500 0.7500 0.7525  6 Pt 2.94-3.02, 2 Pd 2.95
Pd 0.2500 0.7500 0.0498  7 Pt 2.62-2.91
Pd 0.7500 0.2500 0.9502  7 Pt 2.62-2.91
Pt 0.2500 0.0535 0.7463  4 Pt 2.62-2.91, 3 Pd 2.81-2.91
Pt 0.2500 0.4465 0.7463  4 Pt 2.62-2.91, 3 Pd 2.81-2.91
Pt 0.2500 0.7500 0.4570  1 Pd 2.62, 6 Pt 2.75-2.91
Pt 0.7500 0.2500 0.5430  1 Pd 2.62, 6 Pt 2.75-2.91
Pt 0.7500 0.5535 0.2537  4 Pt 2.62-2.91, 3 Pd 2.81-2.91
Pt 0.7500 0.9465 0.2537  4 Pt 2.62-2.91, 3 Pd 2.81-2.91



B ends up most stable, edging out the next structure by 0.375 eV/atom.



A:
Compound: Th4PdPt3
Source: the Alexandria database
Functional: PBE
Structure: optimized geometry

Properties
For the density of states at the Fermi level, the calculation gives 0.71 states/eV/atom.

a = 5.9407 Å, b = 5.9407 Å, c = 5.9407 Å
α = 90.00°, β = 90.00°, γ = 90.00°
Last column: nearest neighbours and their distance in Å.
Fractional coordinates of all 8 atoms:
Th 0.0000 0.0000 0.0000  6 Pt 2.97
Th 0.0000 0.5000 0.5000  2 Pd 2.97, 4 Pt 2.97
Th 0.5000 0.0000 0.5000  2 Pd 2.97, 4 Pt 2.97
Th 0.5000 0.5000 0.0000  2 Pd 2.97, 4 Pt 2.97
Pd 0.5000 0.5000 0.5000  6 Th 2.97
Pt 0.0000 0.0000 0.5000  6 Th 2.97
Pt 0.0000 0.5000 0.0000  6 Th 2.97
Pt 0.5000 0.0000 0.0000  6 Th 2.97



B:
Compound: Th4PdPt3
Source: the Alexandria database
Functional: PBE
Structure: optimized geometry

Properties
For the density of states at the Fermi level, the calculation gives 0.65 states/eV/atom.

a = 3.9389 Å, b = 4.4698 Å, c = 11.2826 Å
α = 90.00°, β = 90.00°, γ = 90.00°
Last column: nearest neighbours and their distance in Å.
Fractional coordinates of all 8 atoms:
Th 0.0000 0.0000 0.0000  6 Pt 3.01-3.26, 1 Pd 3.08
Th 0.0000 0.5000 0.2715  7 Pt 3.01-3.30
Th 0.5000 0.0000 0.4973  5 Pt 3.01-3.02, 2 Pd 3.25
Th 0.5000 0.5000 0.7708  3 Pt 3.00-3.26, 4 Pd 3.02
Pd 0.0000 0.0000 0.7268  7 Th 3.02-3.25, 2 Pt 3.07
Pt 0.0000 0.5000 0.5401  7 Th 3.02-3.26, 2 Pd 3.07
Pt 0.5000 0.0000 0.2307  7 Th 3.01-3.26, 2 Pt 3.13
Pt 0.5000 0.5000 0.0370  7 Th 3.00-3.30, 2 Pt 3.13



B ends up most stable, edging out the next structure by 0.052 eV/atom.



A:
Compound: TmThPdPt
Source: the Alexandria database
Functional: PBE
Structure: optimized geometry

Properties
For the density of states at the Fermi level, the calculation gives 0.74 states/eV/atom.

a = 5.0316 Å, b = 5.0316 Å, c = 5.0316 Å
α = 60.00°, β = 60.00°, γ = 60.00°
Last column: nearest neighbours and their distance in Å.
Fractional coordinates of all 4 atoms:
Tm 0.0000 0.0000 0.0000  4 Pt 3.08, 4 Pd 3.08
Th 0.5000 0.5000 0.5000  4 Pt 3.08, 4 Pd 3.08
Pd 0.2500 0.2500 0.2500  4 Th 3.08, 4 Tm 3.08
Pt 0.7500 0.7500 0.7500  4 Th 3.08, 4 Tm 3.08



B:
Compound: TmThPdPt
Source: the Alexandria database
Functional: PBE
Structure: optimized geometry

Properties
For the density of states at the Fermi level, the calculation gives 0.78 states/eV/atom.

a = 4.5234 Å, b = 5.7217 Å, c = 5.7217 Å
α = 38.76°, β = 90.00°, γ = 90.00°
Last column: nearest neighbours and their distance in Å.
Fractional coordinates of all 4 atoms:
Tm 0.0000 0.0000 0.0000  3 Pt 2.93-3.11, 4 Pd 3.00
Th 0.5000 0.2746 0.2746  3 Pd 2.94-3.11, 4 Pt 2.99
Pd 0.5000 0.5469 0.5469  3 Th 2.94-3.11, 2 Pt 2.99, 4 Tm 3.00
Pt 0.0000 0.7287 0.7287  3 Tm 2.93-3.11, 4 Th 2.99, 2 Pd 2.99



B ends up most stable, edging out the next structure by 0.123 eV/atom.



A:
Compound: YThPdPt
Source: the Alexandria database
Functional: PBE
Structure: optimized geometry

Properties
For the density of states at the Fermi level, the calculation gives 0.87 states/eV/atom.

a = 5.0610 Å, b = 5.0610 Å, c = 5.0610 Å
α = 60.00°, β = 60.00°, γ = 60.00°
Last column: nearest neighbours and their distance in Å.
Fractional coordinates of all 4 atoms:
Y 0.0000 0.0000 0.0000  4 Pt 3.10, 4 Pd 3.10
Th 0.5000 0.5000 0.5000  4 Pd 3.10, 4 Pt 3.10
Pd 0.2500 0.2500 0.2500  4 Th 3.10, 4 Y 3.10
Pt 0.7500 0.7500 0.7500  4 Th 3.10, 4 Y 3.10



B:
Compound: YThPdPt
Source: the Alexandria database
Functional: PBE
Structure: optimized geometry

Properties
For the density of states at the Fermi level, the calculation gives 0.86 states/eV/atom.

a = 4.4927 Å, b = 5.8308 Å, c = 5.8308 Å
α = 38.26°, β = 90.00°, γ = 90.00°
Last column: nearest neighbours and their distance in Å.
Fractional coordinates of all 4 atoms:
Y 0.0000 0.0000 0.0000  3 Pt 2.96-3.19, 4 Pd 3.00
Th 0.5000 0.7255 0.7255  4 Pt 2.99, 3 Pd 3.03-3.13
Pd 0.5000 0.4507 0.4507  4 Y 3.00, 2 Pt 3.01, 3 Th 3.03-3.13
Pt 0.0000 0.2685 0.2685  3 Y 2.96-3.19, 4 Th 2.99, 2 Pd 3.01



B ends up most stable, edging out the next structure by 0.138 eV/atom.



A:
Compound: TiPd2Pt2
Source: the Alexandria database
Functional: PBE
Structure: optimized geometry

Properties
For the density of states at the Fermi level, the calculation gives 0.68 states/eV/atom.

a = 7.1340 Å, b = 7.1340 Å, c = 7.1340 Å
α = 150.91°, β = 150.91°, γ = 41.61°
Last column: nearest neighbours and their distance in Å.
Fractional coordinates of all 5 atoms:
Ti 0.0000 0.0000 0.0000  8 Pt 2.84
Pd 0.2500 0.7500 0.5000  4 Pd 2.53, 4 Pt 2.73
Pd 0.7500 0.2500 0.5000  4 Pd 2.53, 4 Pt 2.73
Pt 0.4043 0.4043 0.0000  1 Pt 2.55, 4 Pd 2.73, 4 Ti 2.84
Pt 0.5957 0.5957 0.0000  1 Pt 2.55, 4 Pd 2.73, 4 Ti 2.84



B:
Compound: TiPd2Pt2
Source: the Alexandria database
Functional: PBE
Structure: optimized geometry

Properties
For the density of states at the Fermi level, the calculation gives 0.37 states/eV/atom.

a = 4.3307 Å, b = 4.3307 Å, c = 10.1663 Å
α = 90.00°, β = 90.00°, γ = 120.00°
Last column: nearest neighbours and their distance in Å.
Fractional coordinates of all 10 atoms:
Ti 0.0000 0.0000 0.2500  5 Pt 2.50-2.54
Ti 0.0000 0.0000 0.7500  5 Pt 2.50-2.54
Pd 0.3333 0.6667 0.1074  6 Pt 2.73-2.89, 3 Ti 2.89, 1 Pd 2.90
Pd 0.3333 0.6667 0.3926  6 Pt 2.73-2.89, 3 Ti 2.89, 1 Pd 2.90
Pd 0.6667 0.3333 0.6074  6 Pt 2.73-2.89, 3 Ti 2.89, 1 Pd 2.90
Pd 0.6667 0.3333 0.8926  6 Pt 2.73-2.89, 3 Ti 2.89, 1 Pd 2.90
Pt 0.0000 0.0000 0.0000  2 Ti 2.54, 6 Pd 2.73
Pt 0.0000 0.0000 0.5000  2 Ti 2.54, 6 Pd 2.73
Pt 0.3333 0.6667 0.7500  3 Ti 2.50
Pt 0.6667 0.3333 0.2500  3 Ti 2.50



C:
Compound: TiPd2Pt2
Source: the Alexandria database
Functional: PBE
Structure: optimized geometry

Properties
For the density of states at the Fermi level, the calculation gives 0.73 states/eV/atom.

a = 6.5442 Å, b = 6.5442 Å, c = 3.9178 Å
α = 90.00°, β = 90.00°, γ = 90.00°
Last column: nearest neighbours and their distance in Å.
Fractional coordinates of all 10 atoms:
Ti 0.0000 0.0000 0.0000  4 Pt 2.52
Ti 0.5000 0.5000 0.0000  4 Pt 2.52
Pd 0.1590 0.3410 0.5000  6 Pt 2.69-2.78, 1 Pd 2.94
Pd 0.3410 0.8410 0.5000  6 Pt 2.69-2.78, 1 Pd 2.94
Pd 0.6590 0.1590 0.5000  6 Pt 2.69-2.78, 1 Pd 2.94
Pd 0.8410 0.6590 0.5000  6 Pt 2.69-2.78, 1 Pd 2.94
Pt 0.1418 0.6418 0.0000  2 Ti 2.52, 1 Pt 2.62, 6 Pd 2.69-2.78
Pt 0.3582 0.1418 0.0000  2 Ti 2.52, 1 Pt 2.62, 6 Pd 2.69-2.78
Pt 0.6418 0.8582 0.0000  2 Ti 2.52, 1 Pt 2.62, 6 Pd 2.69-2.78
Pt 0.8582 0.3582 0.0000  2 Ti 2.52, 1 Pt 2.62, 6 Pd 2.69-2.78



B ends up most stable, edging out the next structure by 0.040 eV/atom.